# 1
Below is a relaxed structure of LiMgPd, with properties calculated at the PBE level.

a = 4.5319 Å, b = 4.5319 Å, c = 5.4119 Å
α = 90.00°, β = 90.00°, γ = 120.00°
Fractional coordinates of all 6 atoms:
Li 0.0000 0.0000 0.0000
Li 0.0000 0.0000 0.5000
Mg 0.3333 0.6667 0.3136
Mg 0.6667 0.3333 0.6864
Pd 0.3333 0.6667 0.8206
Pd 0.6667 0.3333 0.1794

- ΔE to the lowest computed polymorph: 0 meV/atom
- Calculated total energy: -0.12472 Ha/atom
- N(E_F): 0.4869 states/eV per atom

# 2
Below is a relaxed structure of LiMg3Pd6, with properties calculated at the PBE level.

a = 7.5321 Å, b = 4.5090 Å, c = 9.5582 Å
α = 90.00°, β = 107.93°, γ = 90.00°
Fractional coordinates of all 20 atoms:
Li 0.0497 0.2500 0.4097
Li 0.9503 0.7500 0.5903
Mg 0.2218 0.2500 0.0093
Mg 0.3586 0.7500 0.7878
Mg 0.4580 0.2500 0.6080
Mg 0.5420 0.7500 0.3920
Mg 0.6414 0.2500 0.2122
Mg 0.7782 0.7500 0.9907
Pd 0.0647 0.7500 0.8742
Pd 0.1485 0.2500 0.6990
Pd 0.1519 0.7500 0.1869
Pd 0.2442 0.7500 0.4940
Pd 0.3413 0.2500 0.3122
Pd 0.4590 0.7500 0.0863
Pd 0.5410 0.2500 0.9137
Pd 0.6587 0.7500 0.6878
Pd 0.7558 0.2500 0.5060
Pd 0.8481 0.2500 0.8131
Pd 0.8515 0.7500 0.3010
Pd 0.9353 0.2500 0.1258

- Calculated total energy: -0.16046 Ha/atom
- N(E_F): 0.2547 states/eV per atom

# 3
Below is a relaxed structure of LiMgPd3, with properties calculated at the PBE level.

a = 4.2987 Å, b = 4.2987 Å, c = 4.2987 Å
α = 90.00°, β = 90.00°, γ = 90.00°
Fractional coordinates of all 5 atoms:
Li 0.0000 0.0000 0.0000
Mg 0.5000 0.5000 0.5000
Pd 0.0000 0.0000 0.5000
Pd 0.0000 0.5000 0.0000
Pd 0.5000 0.0000 0.0000

- ΔE to the lowest computed polymorph: 382 meV/atom
- Calculated total energy: -0.14413 Ha/atom
- N(E_F): 0.3717 states/eV per atom

# 4
Below is a relaxed structure of Li6MgPd5, with properties calculated at the PBE level.

a = 7.4335 Å, b = 7.4335 Å, c = 7.4335 Å
α = 146.45°, β = 132.01°, γ = 59.82°
Fractional coordinates of all 12 atoms:
Li 0.0585 0.3227 0.7358
Li 0.2220 0.0000 0.2220
Li 0.4130 0.6773 0.7358
Li 0.5870 0.3227 0.2642
Li 0.7780 0.0000 0.7780
Li 0.9415 0.6773 0.2642
Mg 0.5000 0.5000 0.0000
Pd 0.0000 0.5000 0.5000
Pd 0.1660 0.1660 0.0000
Pd 0.3471 0.8471 0.5000
Pd 0.6529 0.1529 0.5000
Pd 0.8340 0.8340 0.0000

- ΔE to the lowest computed polymorph: 0 meV/atom
- Calculated total energy: -0.13499 Ha/atom
- N(E_F): 0.1365 states/eV per atom

Question: Among the records above, which one has the lowest calculated total energy?
Answer: LiMg3Pd6